PrUGe2 PBE-GGA relaxed; M_tot = 2.6 μB per cell; ΔE to the lowest computed polymorph = 0.11 kcal/mol of atoms; space-group type = P4/mmm (123)
1.0
-0.395 3.268 -0.766
-0.908 -0.846 -3.143
-7.784 -0.390 2.355
Pr Ge U
1 2 1
direct
0.500 0.500 0.500
0.000 0.000 0.762
0.000 0.000 0.238
0.500 0.500 0.000

---

PrVGe3 PBE-GGA relaxed; final energy = -6.057 eV/atom; M_tot = 0.0 μB per cell; space-group type = P6_3/mmc (194)
1.0
-0.212 1.912 -5.981
-2.465 -5.549 1.614
-4.967 2.490 0.972
Ge V Pr
6 2 2
direct
0.389 0.195 0.750
0.611 0.805 0.250
0.805 0.195 0.750
0.195 0.389 0.250
0.195 0.805 0.250
0.805 0.611 0.750
0.000 0.000 0.000
0.000 0.000 0.500
0.333 0.667 0.750
0.667 0.333 0.250

---

PrY4Ge4 PBE-GGA relaxed; final energy = -6.065 eV/atom; M_tot = 0.0 μB per cell; space-group type = P4_2/n (86)
1.0
-0.270 -2.187 -5.374
-4.692 -7.412 3.251
-8.082 4.492 -1.422
Ge Y Pr
8 8 2
direct
0.393 0.356 0.210
0.607 0.790 0.356
0.893 0.710 0.144
0.393 0.644 0.790
0.107 0.144 0.290
0.893 0.290 0.856
0.107 0.856 0.710
0.607 0.210 0.644
0.388 0.658 0.104
0.112 0.842 0.396
0.112 0.158 0.604
0.888 0.396 0.158
0.888 0.604 0.842
0.388 0.342 0.896
0.612 0.896 0.658
0.612 0.104 0.342
0.000 0.000 0.000
0.500 0.500 0.500

---

Pr2YGe PBE-GGA relaxed; M_tot = 0.0 μB per cell; ΔE to the lowest computed polymorph = 0.00 kcal/mol of atoms; space-group type = P4/mmm (123)
1.0
4.896 0.000 0.000
0.000 4.765 0.000
0.000 0.000 4.765
Ge Y Pr
1 1 2
direct
0.500 0.500 0.500
0.500 0.000 0.000
0.000 0.500 0.000
0.000 0.000 0.500

---

- Number 4 is which compound?
  Pr2YGe

---

Copy entry 1 word for word.
PrUGe2 PBE-GGA relaxed; M_tot = 2.6 μB per cell; ΔE to the lowest computed polymorph = 0.11 kcal/mol of atoms; space-group type = P4/mmm (123)
1.0
-0.395 3.268 -0.766
-0.908 -0.846 -3.143
-7.784 -0.390 2.355
Pr Ge U
1 2 1
direct
0.500 0.500 0.500
0.000 0.000 0.762
0.000 0.000 0.238
0.500 0.500 0.000

---

- Which value of M_tot does entry 1 give?
  2.6 μB per cell